# 1
An optimized crystal structure of Ac2La7Ho3, computed with GGA-PBE.

Results
The value obtained for the total DFT energy (no corrections) is -0.1701 hartree per atom. Its space group is No. 10. As for the crystal system: monoclinic. The formation energy from the elements comes out at 0.076 eV/atom.

Lattice parameters (Å, degrees): 3.6741 6.6020 18.8504 105.27 90.00 90.00
With the nearest neighbours (Å) after each atom.
Fractional positions:
Ac: 0.5000 0.4026 0.3295  5 La 3.55-3.75, 2 Ac 3.67, 4 Ho 3.70-3.86
Ac: 0.5000 0.5974 0.6705  5 La 3.55-3.75, 2 Ac 3.67, 4 Ho 3.70-3.86
La: 0.5000 0.2236 0.4910  1 La 3.06
La: 0.5000 0.7764 0.5090  1 La 3.06
La: 0.0000 0.4493 0.1613  3 Ho 3.64-3.78, 7 La 3.65-3.85, 2 Ac 3.75
La: 0.0000 0.0000 0.0000  8 La 3.65-3.75, 4 Ho 3.78
La: 0.0000 0.5507 0.8387  3 Ho 3.64-3.78, 7 La 3.65-3.85, 2 Ac 3.75
La: 0.5000 0.0579 0.8329  8 La 3.67-3.85, 3 Ho 3.69-3.75, 1 Ac 3.70
La: 0.5000 0.9421 0.1671  8 La 3.67-3.85, 3 Ho 3.69-3.75, 1 Ac 3.70
Ho: 0.5000 0.5000 0.0000  10 La 3.64-3.78, 2 Ho 3.67
Ho: 0.0000 0.8938 0.3353  7 La 3.66-4.00, 2 Ho 3.67, 4 Ac 3.70-3.86
Ho: 0.0000 0.1062 0.6647  7 La 3.66-4.00, 2 Ho 3.67, 4 Ac 3.70-3.86

# 2
An optimized crystal structure of AcLaHo2, computed with GGA-PBE.

Results
The value obtained for the total DFT energy (no corrections) is -0.1655 hartree per atom. Its space group is No. 123. As for the crystal system: tetragonal. For the energy above the most stable polymorph in this dataset, the calculation gives 0.004 eV per atom. The formation energy from the elements comes out at 0.044 eV/atom.

Lattice parameters (Å, degrees): 3.8089 3.8089 9.8538 90.00 90.00 90.00
With the nearest neighbours (Å) after each atom.
Fractional positions:
Ac: 0.5000 0.5000 0.5000  8 Ho 3.70, 4 Ac 3.81
Ho: 0.0000 0.0000 0.7580  4 La 3.60, 4 Ac 3.70, 4 Ho 3.81
Ho: 0.0000 0.0000 0.2420  4 La 3.60, 4 Ac 3.70, 4 Ho 3.81
La: 0.5000 0.5000 0.0000  8 Ho 3.60, 4 La 3.81

# 3
An optimized crystal structure of AcLa2Ho2, computed with GGA-PBE.

Results
The value obtained for the total DFT energy (no corrections) is -0.1653 hartree per atom. Its space group is No. 36. As for the crystal system: orthorhombic. For the energy above the most stable polymorph in this dataset, the calculation gives 0.000 eV per atom. The formation energy from the elements comes out at 0.124 eV/atom.

Lattice parameters (Å, degrees): 3.7538 8.0668 12.6556 90.00 90.00 103.45
With the nearest neighbours (Å) after each atom.
Fractional positions:
Ac: 0.6264 0.2527 0.9615  4 Ho 3.57-3.72, 2 Ac 3.75, 2 La 3.91
Ac: 0.3736 0.7473 0.4615  4 Ho 3.57-3.72, 2 Ac 3.75, 2 La 3.91
La: 0.9856 0.9711 0.2005  4 Ho 3.33-3.70
La: 0.2962 0.5924 0.7914  5 Ho 3.45-3.76, 2 La 3.75
La: 0.0144 0.0289 0.7005  4 Ho 3.33-3.70
La: 0.7038 0.4076 0.2914  5 Ho 3.45-3.76, 2 La 3.75
Ho: 0.3034 0.6069 0.0886  2 Ho 3.33, 4 La 3.54-3.70, 2 Ac 3.72
Ho: 0.9336 0.8672 0.9434  4 La 3.33-3.45, 2 Ho 3.33, 2 Ac 3.57
Ho: 0.6966 0.3931 0.5886  2 Ho 3.33, 4 La 3.54-3.70, 2 Ac 3.72
Ho: 0.0664 0.1328 0.4434  4 La 3.33-3.45, 2 Ho 3.33, 2 Ac 3.57

# 4
An optimized crystal structure of Ac8La2Ho3, computed with GGA-PBE.

Results
The value obtained for the total DFT energy (no corrections) is -0.1528 hartree per atom. Its space group is No. 12. As for the crystal system: monoclinic. The formation energy from the elements comes out at 0.186 eV/atom.

Lattice parameters (Å, degrees): 6.4800 8.6705 10.6802 66.05 80.65 90.00
With the nearest neighbours (Å) after each atom.
Fractional positions:
Ac: 0.2328 0.4661 0.0679  2 Ho 3.32, 1 La 3.39, 2 Ac 3.48-3.50
Ac: 0.7672 0.5339 0.9321  2 Ho 3.32, 1 La 3.39, 2 Ac 3.48-3.50
Ac: 0.2702 0.8285 0.3431  3 Ho 3.73-4.04, 2 La 3.92-4.12, 6 Ac 4.04-4.08
Ac: 0.7298 0.1715 0.6569  3 Ho 3.73-4.04, 2 La 3.92-4.12, 6 Ac 4.04-4.08
Ac: 0.2155 0.8704 0.7140  2 Ho 3.71-3.73, 3 La 3.77-4.11, 6 Ac 3.83-4.08
Ac: 0.2155 0.4156 0.7140  2 Ho 3.71-3.73, 3 La 3.77-4.11, 6 Ac 3.83-4.08
Ac: 0.7845 0.5844 0.2860  2 Ho 3.71-3.73, 3 La 3.77-4.11, 6 Ac 3.83-4.08
Ac: 0.7845 0.1296 0.2860  2 Ho 3.71-3.73, 3 La 3.77-4.11, 6 Ac 3.83-4.08
La: 0.7223 0.7045 0.5910  3 Ac 3.39-3.77
La: 0.2777 0.2955 0.4090  3 Ac 3.39-3.77
Ho: 0.0000 0.0000 0.0000  4 Ho 3.57, 4 Ac 3.73
Ho: 0.5000 0.1738 0.0000  1 Ho 3.01, 2 Ac 3.32
Ho: 0.5000 0.8262 0.0000  1 Ho 3.01, 2 Ac 3.32

# 5
An optimized crystal structure of AcLa2Ho, computed with GGA-PBE.

Results
The value obtained for the total DFT energy (no corrections) is -0.1644 hartree per atom. Its space group is No. 166. As for the crystal system: trigonal. For the energy above the most stable polymorph in this dataset, the calculation gives 0.142 eV per atom. The formation energy from the elements comes out at 0.162 eV/atom.

Lattice parameters (Å, degrees): 3.6734 3.6734 13.2459 82.03 82.03 60.00
With the nearest neighbours (Å) after each atom.
Fractional positions:
Ac: 0.0000 0.0000 0.0000  2 La 3.62, 6 Ac 3.67
Ho: 0.5000 0.5000 0.5000  6 La 3.61, 6 Ho 3.67
La: 0.0922 0.0922 0.7234  3 Ho 3.61, 1 Ac 3.62, 6 La 3.67
La: 0.9078 0.9078 0.2766  3 Ho 3.61, 1 Ac 3.62, 6 La 3.67

# 6
An optimized crystal structure of AcLaHo2, computed with GGA-PBE.

Results
The value obtained for the total DFT energy (no corrections) is -0.1657 hartree per atom. Its space group is No. 123. As for the crystal system: tetragonal. For the energy above the most stable polymorph in this dataset, the calculation gives 0.000 eV per atom. The formation energy from the elements comes out at 0.040 eV/atom.

Lattice parameters (Å, degrees): 5.0156 5.3297 5.3297 90.00 90.00 90.00
With the nearest neighbours (Å) after each atom.
Fractional positions:
Ac: 0.5000 0.5000 0.5000  8 Ho 3.66, 4 La 3.77
Ho: 0.0000 0.0000 0.5000  4 Ac 3.66, 4 La 3.66, 4 Ho 3.77
Ho: 0.0000 0.5000 0.0000  4 Ac 3.66, 4 La 3.66, 4 Ho 3.77
La: 0.5000 0.0000 0.0000  8 Ho 3.66, 4 Ac 3.77

# 7
An optimized crystal structure of Ac2La7Ho4, computed with GGA-PBE.

Results
The value obtained for the total DFT energy (no corrections) is -0.1657 hartree per atom. Its space group is No. 162. As for the crystal system: trigonal. The formation energy from the elements comes out at 0.185 eV/atom.

Lattice parameters (Å, degrees): 6.4151 6.4151 13.2428 90.00 90.00 120.00
With the nearest neighbours (Å) after each atom.
Fractional positions:
Ac: 0.6667 0.3333 0.0000  3 Ac 3.70, 9 La 3.70-3.71
Ac: 0.3333 0.6667 0.0000  3 Ac 3.70, 9 La 3.70-3.71
La: 0.0000 0.3825 0.7639  1 Ho 3.20, 4 La 3.46
La: 0.0000 0.6175 0.2361  1 Ho 3.20, 4 La 3.46
La: 0.0000 0.0000 0.0000  6 Ac 3.70, 6 La 3.97
La: 0.3825 0.0000 0.7639  1 Ho 3.20, 4 La 3.46
La: 0.6175 0.0000 0.2361  1 Ho 3.20, 4 La 3.46
La: 0.3825 0.3825 0.2361  1 Ho 3.20, 4 La 3.46
La: 0.6175 0.6175 0.7639  1 Ho 3.20, 4 La 3.46
Ho: 0.0000 0.0000 0.6090  1 Ho 2.89, 3 La 3.20
Ho: 0.0000 0.0000 0.3910  1 Ho 2.89, 3 La 3.20
Ho: 0.6667 0.3333 0.5000  9 Ho 3.70-3.97, 6 La 4.03
Ho: 0.3333 0.6667 0.5000  9 Ho 3.70-3.97, 6 La 4.03

# 8
An optimized crystal structure of AcLa7Ho2, computed with GGA-PBE.

Results
The value obtained for the total DFT energy (no corrections) is -0.1549 hartree per atom. Its space group is No. 65. As for the crystal system: orthorhombic. For the energy above the most stable polymorph in this dataset, the calculation gives 0.408 eV per atom. The formation energy from the elements comes out at 0.562 eV/atom.

Lattice parameters (Å, degrees): 5.9545 9.2651 9.2651 120.64 90.00 90.00
With the nearest neighbours (Å) after each atom.
Fractional positions:
Ac: 0.0000 0.0000 0.0000  10 La 3.92-3.96
La: 0.0000 0.7537 0.2463  2 Ho 3.09
La: 0.0000 0.2463 0.7537  2 Ho 3.09
La: 0.5000 0.0637 0.3027  2 Ho 3.20-3.32, 2 La 3.36-3.49
La: 0.5000 0.9363 0.6973  2 Ho 3.20-3.32, 2 La 3.36-3.49
La: 0.5000 0.3027 0.0637  2 Ho 3.20-3.32, 2 La 3.36-3.49
La: 0.5000 0.6973 0.9363  2 Ho 3.20-3.32, 2 La 3.36-3.49
La: 0.5000 0.5000 0.5000  2 Ho 3.26, 4 La 3.49
Ho: 0.5000 0.7024 0.2976  7 La 3.09-3.32
Ho: 0.5000 0.2976 0.7024  7 La 3.09-3.32

# 9
An optimized crystal structure of Ac4La4Ho3, computed with GGA-PBE.

Results
The value obtained for the total DFT energy (no corrections) is -0.1590 hartree per atom. Its space group is No. 71. As for the crystal system: orthorhombic. The formation energy from the elements comes out at 0.207 eV/atom.

Lattice parameters (Å, degrees): 3.6920 11.7540 11.6671 120.25 99.10 90.00
With the nearest neighbours (Å) after each atom.
Fractional positions:
Ac: 0.8089 0.3089 0.6177  6 La 3.66-3.80, 2 Ac 3.69, 1 Ho 3.79
Ac: 0.1911 0.6911 0.3823  6 La 3.66-3.80, 2 Ac 3.69, 1 Ho 3.79
Ac: 0.5000 0.7663 0.0000  2 La 3.51, 6 Ho 3.63-3.77, 2 Ac 3.69
Ac: 0.5000 0.2337 0.0000  2 La 3.51, 6 Ho 3.63-3.77, 2 Ac 3.69
La: 0.6769 0.3953 0.3538  4 Ac 3.51-3.80, 4 La 3.52-3.69, 2 Ho 3.59
La: 0.3231 0.0415 0.6462  4 Ac 3.51-3.80, 4 La 3.52-3.69, 2 Ho 3.59
La: 0.3231 0.6047 0.6462  4 Ac 3.51-3.80, 4 La 3.52-3.69, 2 Ho 3.59
La: 0.6769 0.9585 0.3538  4 Ac 3.51-3.80, 4 La 3.52-3.69, 2 Ho 3.59
Ho: 0.9086 0.9086 0.8171  4 La 3.59, 3 Ho 3.62-3.69, 4 Ac 3.77
Ho: 0.0914 0.0914 0.1829  4 La 3.59, 3 Ho 3.62-3.69, 4 Ac 3.77
Ho: 0.0000 0.5000 0.0000  6 Ac 3.63-3.79, 2 Ho 3.69

# 10
An optimized crystal structure of Ac3La4Ho4, computed with GGA-PBE.

Results
The value obtained for the total DFT energy (no corrections) is -0.1660 hartree per atom. Its space group is No. 2. As for the crystal system: triclinic. The formation energy from the elements comes out at 0.060 eV/atom.

Lattice parameters (Å, degrees): 3.6846 5.8887 18.9764 81.12 84.40 89.99
With the nearest neighbours (Å) after each atom.
Fractional positions:
Ac: 0.1373 0.6373 0.7261  2 Ac 3.68, 6 La 3.86-4.07, 6 Ho 3.87-3.89
Ac: 0.8627 0.3627 0.2740  2 Ac 3.68, 6 La 3.86-4.07, 6 Ho 3.87-3.89
Ac: 0.0000 0.0000 0.9999  2 Ac 3.68, 8 Ho 3.86-3.87, 4 La 3.89
La: 0.5918 0.0922 0.8163  3 Ho 3.39-3.42, 2 La 3.68
La: 0.2658 0.2659 0.4683  4 Ho 3.52-3.61, 6 La 3.67-3.68
La: 0.7342 0.7341 0.5318  4 Ho 3.52-3.61, 6 La 3.67-3.68
La: 0.4083 0.9078 0.1837  3 Ho 3.39-3.42, 2 La 3.68
Ho: 0.5458 0.5459 0.9097  3 Ho 3.37-3.68, 2 La 3.42
Ho: 0.4543 0.4542 0.0902  3 Ho 3.37-3.68, 2 La 3.42
Ho: 0.3173 0.8170 0.3653  5 La 3.39-3.61, 2 Ho 3.68
Ho: 0.6827 0.1829 0.6348  5 La 3.39-3.61, 2 Ho 3.68

What is the formula in the ninth record? Ac4La4Ho3

Number 6 is which compound? AcLaHo2

What is the total DFT energy (no corrections) in the fourth record? -0.1528 hartree per atom